[1]
The following is a DFT calculation (PBE) of crystalline MgZnW2 at its relaxed geometry.

For the total energy, the calculation gives -6.813 eV/atom. The theoretical density is 11.8 g/cm³. For the total magnetization, the calculation gives 0.0 μB/f.u. For the distance to the lowest polymorph of the same formula, the calculation gives 178 meV per atom. As for the calculated volume: 16.05 Å³ per atom. The crystal system is tetragonal. The value obtained for the formation energy is 381.0 meV/atom.

It has space group I-4m2 (No. 119), with a = 4.4865 Å, b = 4.4865 Å, c = 6.3786 Å, α = 90.00°, β = 90.00° and γ = 90.00°. Symmetry generates all atoms from Mg at (0.0000, 0.0000, 0.0000), Zn at (0.0000, 0.5000, 0.2500), W at (0.0000, 0.0000, 0.5000) and W at (0.0000, 0.5000, 0.7500).

=====

[2]
The following is a DFT calculation (PBE) of crystalline MgZnW2 at its relaxed geometry.

For the total energy, the calculation gives -6.438 eV/atom. The theoretical density is 10.9 g/cm³. For the total magnetization, the calculation gives 0.0 μB/f.u. For the distance to the lowest polymorph of the same formula, the calculation gives 552 meV per atom. As for the calculated volume: 17.48 Å³ per atom. The crystal system is tetragonal. The value obtained for the formation energy is 755.4 meV/atom.

It has space group I-42d (No. 122), with a = 3.7595 Å, b = 3.7595 Å, c = 19.7855 Å, α = 90.00°, β = 90.00° and γ = 90.00°. Symmetry generates all atoms from Mg at (0.0000, 0.0000, 0.0000), Zn at (0.0000, 0.0000, 0.5000) and W at (0.2484, 0.2500, 0.6250).

=====

> What is the theoretical density in the second record?

10.9 g/cm³